Record 1
Computed, not measured: crystalline Ti3Ni12Sb at its relaxed geometry at the PBE-GGA level of DFT.

Cell lengths 3.640, 3.640, 14.567 Å; angles 90.00, 90.00, 90.00 degrees
Positions (direct):
Ni1 0.500 0.000 0.622
Ni2 0.000 0.500 0.133
Ni3 0.500 0.500 0.500
Ni4 0.000 0.500 0.378
Ni5 0.500 0.000 0.378
Ni6 0.500 0.500 0.000
Ni7 0.500 0.500 0.254
Ni8 0.500 0.000 0.867
Ni9 0.500 0.500 0.746
Ni10 0.000 0.500 0.867
Ni11 0.500 0.000 0.133
Ni12 0.000 0.500 0.622
Sb1 0.000 0.000 0.000
Ti1 0.000 0.000 0.500
Ti2 0.000 0.000 0.745
Ti3 0.000 0.000 0.255

Results
* formation energy without anion corrections: -0.39 eV/atom
* space group: P4/mmm (123)
* DFT total energy: -103.40 eV per formula unit



Record 2
Computed, not measured: crystalline Ti2NiSb at its relaxed geometry at the PBE-GGA level of DFT.

Cell lengths 7.157, 7.157, 5.747 Å; angles 51.49, 51.49, 90.00 degrees
Positions (direct):
Ni1 0.500 0.500 0.000
Ni2 0.250 0.750 0.500
Ti1 0.875 0.832 0.750
Ti2 0.375 0.418 0.750
Ti3 0.582 0.125 0.250
Ti4 0.168 0.625 0.250
Sb1 0.000 0.000 0.000
Sb2 0.750 0.250 0.500

Results
* formation energy without anion corrections: -0.14 eV/atom
* space group: I-42d (122)
* DFT total energy: -26.25 eV per formula unit



Record 3
Computed, not measured: crystalline Ti8NiSb2 at its relaxed geometry at the PBE-GGA level of DFT.

Cell lengths 4.670, 5.322, 7.927 Å; angles 91.60, 107.13, 90.00 degrees
Positions (direct):
Sb1 0.847 0.190 0.693
Sb2 0.153 0.810 0.307
Ti1 0.657 0.116 0.314
Ti2 0.957 0.730 0.914
Ti3 0.233 0.339 0.465
Ti4 0.343 0.884 0.686
Ti5 0.043 0.270 0.086
Ti6 0.418 0.425 0.836
Ti7 0.582 0.575 0.164
Ti8 0.767 0.661 0.535
Ni1 0.500 0.000 0.000

Results
* formation energy without anion corrections: -0.29 eV/atom
* space group: C2/m (12)
* DFT total energy: -80.41 eV per formula unit